Material: YMn2SbTe
Method: DFT, GGA-PBEsol
State: relaxed

Lattice parameters (Å, degrees): 4.737 4.737 5.960 90.00 90.00 90.00
Sites, in units of the cell vectors:
Y  0.000  0.000  0.000
Mn  0.000  0.500  0.500
Mn  0.500  0.000  0.500
Sb  0.500  0.500  0.000
Te  0.500  0.500  0.500

Output
- Mass density: 5.56 g/cm3
- V: 26.749 A^3/atom
- M_tot: 6.277 μB/f.u.
- Total energy: -6.23 eV/atom

***

Material: Ag2OsRhSe
Method: DFT, GGA-PBEsol
State: relaxed

Lattice parameters (Å, degrees): 4.974 4.974 4.529 90.00 90.00 90.00
Sites, in units of the cell vectors:
Ag  0.000  0.500  0.000
Ag  0.500  0.000  0.000
Os  0.000  0.000  0.000
Rh  0.000  0.000  0.500
Se  0.500  0.500  0.500

Output
- Mass density: 8.71 g/cm3
- V: 22.405 A^3/atom
- M_tot: 0.001 μB/f.u.
- Total energy: -4.61 eV/atom

***

Material: LiScP
Method: DFT, GGA-PBEsol
State: relaxed

Lattice parameters (Å, degrees): 4.541 4.541 4.541 133.59 133.59 67.73
Sites, in units of the cell vectors:
Li  0.000  0.000  0.000
Sc  0.668  0.668  0.000
P  0.311  0.311  0.000

Output
- Mass density: 2.85 g/cm3
- V: 16.095 A^3/atom
- M_tot: 0.095 μB/f.u.
- Total energy: -5.42 eV/atom

***

Material: CrHgBr
Method: DFT, GGA-PBEsol
State: relaxed

Lattice parameters (Å, degrees): 4.725 4.725 4.725 60.00 60.00 60.00
Sites, in units of the cell vectors:
Cr  0.000  0.000  0.000
Hg  0.250  0.250  0.250
Br  0.750  0.750  0.750

Output
- Mass density: 7.40 g/cm3
- V: 24.857 A^3/atom
- M_tot: 4.952 μB/f.u.
- Total energy: -3.93 eV/atom

***

Material: Rb2ReNiSe
Method: DFT, GGA-PBEsol
State: relaxed

Lattice parameters (Å, degrees): 6.708 6.708 4.587 90.00 90.00 90.00
Sites, in units of the cell vectors:
Rb  0.000  0.500  0.000
Rb  0.500  0.000  0.000
Re  0.000  0.000  0.000
Ni  0.500  0.500  0.500
Se  0.000  0.000  0.500

Output
- Mass density: 3.98 g/cm3
- V: 41.288 A^3/atom
- M_tot: 0.734 μB/f.u.
- Total energy: -3.82 eV/atom

***

Material: CrIr2OsPb
Method: DFT, GGA-PBEsol
State: relaxed

Lattice parameters (Å, degrees): 4.770 4.770 4.601 90.00 90.00 90.00
Sites, in units of the cell vectors:
Cr  0.000  0.000  0.000
Ir  0.000  0.500  0.500
Ir  0.500  0.000  0.500
Os  0.000  0.000  0.500
Pb  0.500  0.500  0.000

Output
- Mass density: 13.23 g/cm3
- V: 20.938 A^3/atom
- M_tot: 3.256 μB/f.u.
- Total energy: -7.81 eV/atom

***

Material: BeCuAs2
Method: DFT, GGA-PBEsol
State: relaxed

Lattice parameters (Å, degrees): 3.000 3.000 6.917 90.00 90.00 97.51
Sites, in units of the cell vectors:
Be  0.000  0.000  0.000
Cu  0.500  0.500  0.161
As  0.000  0.000  0.372
As  0.500  0.500  0.804

Output
- Mass density: 5.98 g/cm3
- V: 15.427 A^3/atom
- M_tot: 0.000 μB/f.u.
- Total energy: -4.48 eV/atom

***

Material: Na2TaHgBr
Method: DFT, GGA-PBEsol
State: relaxed

Lattice parameters (Å, degrees): 4.972 4.972 6.254 90.00 90.00 90.00
Sites, in units of the cell vectors:
Na  0.000  0.500  0.000
Na  0.500  0.000  0.000
Ta  0.000  0.000  0.500
Hg  0.500  0.500  0.500
Br  0.500  0.500  0.000

Output
- Mass density: 5.45 g/cm3
- V: 30.922 A^3/atom
- M_tot: 3.962 μB/f.u.
- Total energy: -2.69 eV/atom

***

Material: NaBC4O8
Method: DFT, GGA-PBEsol
State: relaxed

Lattice parameters (Å, degrees): 6.559 6.559 7.812 90.00 90.00 104.28
Sites, in units of the cell vectors:
Na  0.069  0.931  0.750
Na  0.931  0.069  0.250
B  0.432  0.568  0.250
B  0.568  0.432  0.750
C  0.224  0.776  0.152
C  0.224  0.776  0.348
C  0.265  0.545  0.750
C  0.455  0.735  0.750
C  0.545  0.265  0.250
C  0.735  0.455  0.250
C  0.776  0.224  0.652
C  0.776  0.224  0.848
O  0.083  0.556  0.750
O  0.128  0.872  0.063
O  0.128  0.872  0.437
O  0.335  0.372  0.750
O  0.346  0.654  0.099
O  0.346  0.654  0.401
O  0.372  0.335  0.250
O  0.444  0.917  0.750
O  0.556  0.083  0.250
O  0.628  0.665  0.750
O  0.654  0.346  0.599
O  0.654  0.346  0.901
O  0.665  0.628  0.250
O  0.872  0.128  0.563
O  0.872  0.128  0.937
O  0.917  0.444  0.250

Output
- Mass density: 2.14 g/cm3
- V: 11.631 A^3/atom
- M_tot: 0.000 μB/f.u.
- Total energy: -7.80 eV/atom

***

Material: Li2SiPb
Method: DFT, GGA-PBEsol
State: relaxed

Lattice parameters (Å, degrees): 4.758 4.758 5.498 99.76 99.76 37.99
Sites, in units of the cell vectors:
Li  0.239  0.239  0.208
Li  0.761  0.761  0.792
Si  0.500  0.500  0.000
Pb  0.000  0.000  0.500

Output
- Mass density: 5.49 g/cm3
- Distance to the lowest polymorph of the same formula: 0.25 eV per formula unit
- V: 18.840 A^3/atom
- M_tot: 0.000 μB/f.u.

***

Material: ScNb3In
Method: DFT, GGA-PBEsol
State: relaxed

Lattice parameters (Å, degrees): 4.999 4.999 4.999 90.00 90.00 90.00
Sites, in units of the cell vectors:
Sc  0.000  0.000  0.000
Nb  0.000  0.500  0.500
Nb  0.500  0.000  0.500
Nb  0.500  0.500  0.000
In  0.500  0.500  0.500

Output
- Mass density: 5.83 g/cm3
- V: 24.984 A^3/atom
- M_tot: 0.000 μB/f.u.
- Total energy: -6.78 eV/atom

***

Material: Ta2TeOs
Method: DFT, GGA-PBEsol
State: relaxed

Lattice parameters (Å, degrees): 4.793 4.793 3.184 94.95 94.95 104.92
Sites, in units of the cell vectors:
Ta  0.000  0.500  0.000
Ta  0.500  0.000  0.000
Te  0.000  0.000  0.500
Os  0.500  0.500  0.500

Output
- Mass density: 16.13 g/cm3
- V: 17.492 A^3/atom
- M_tot: 0.000 μB/f.u.
- Total energy: -9.99 eV/atom

***

Material: CrRu2W
Method: DFT, GGA-PBEsol
State: relaxed

Lattice parameters (Å, degrees): 4.289 4.289 4.289 60.00 60.00 60.00
Sites, in units of the cell vectors:
Cr  0.000  0.000  0.000
Ru  0.250  0.250  0.250
Ru  0.750  0.750  0.750
W  0.500  0.500  0.500

Output
- Mass density: 13.04 g/cm3
- Distance to the lowest polymorph of the same formula: 0.18 eV per formula unit
- V: 13.945 A^3/atom
- M_tot: 3.535 μB/f.u.

***

Material: AgPtCl2
Method: DFT, GGA-PBEsol
State: relaxed

Lattice parameters (Å, degrees): 3.432 3.432 7.816 90.00 90.00 123.51
Sites, in units of the cell vectors:
Ag  0.000  0.000  0.000
Pt  0.000  0.000  0.500
Cl  0.500  0.500  0.277
Cl  0.500  0.500  0.723

Output
- Mass density: 8.09 g/cm3
- Distance to the lowest polymorph of the same formula: 0.44 eV per formula unit
- V: 19.191 A^3/atom
- M_tot: 0.000 μB/f.u.

***

Material: ScPdAu3
Method: DFT, GGA-PBEsol
State: relaxed

Lattice parameters (Å, degrees): 4.897 4.897 4.897 90.00 90.00 90.00
Sites, in units of the cell vectors:
Sc  0.000  0.000  0.000
Pd  0.500  0.500  0.500
Au  0.000  0.000  0.500
Au  0.000  0.500  0.000
Au  0.500  0.000  0.000

Output
- Mass density: 10.49 g/cm3
- V: 23.490 A^3/atom
- M_tot: 0.002 μB/f.u.
- Total energy: -4.00 eV/atom

***

Material: KCoRu3
Method: DFT, GGA-PBEsol
State: relaxed

Lattice parameters (Å, degrees): 4.380 4.380 4.380 90.00 90.00 90.00
Sites, in units of the cell vectors:
K  0.000  0.000  0.000
Co  0.500  0.500  0.500
Ru  0.000  0.000  0.500
Ru  0.000  0.500  0.000
Ru  0.500  0.000  0.000

Output
- Mass density: 7.93 g/cm3
- V: 16.808 A^3/atom
- M_tot: 4.211 μB/f.u.
- Total energy: -4.60 eV/atom

***

Material: MgBeTe
Method: DFT, GGA-PBEsol
State: relaxed

Lattice parameters (Å, degrees): 4.499 4.499 4.499 60.00 60.00 60.00
Sites, in units of the cell vectors:
Mg  0.000  0.000  0.000
Be  0.750  0.750  0.750
Te  0.500  0.500  0.500

Output
- Mass density: 4.15 g/cm3
- Distance to the lowest polymorph of the same formula: 0.96 eV per formula unit
- V: 21.459 A^3/atom
- M_tot: 0.000 μB/f.u.

***

Material: GaTeOsI2
Method: DFT, GGA-PBEsol
State: relaxed

Lattice parameters (Å, degrees): 5.338 5.338 5.362 90.00 90.00 90.00
Sites, in units of the cell vectors:
Ga  0.000  0.000  0.000
Te  0.000  0.000  0.500
Os  0.500  0.500  0.500
I  0.000  0.500  0.000
I  0.500  0.000  0.000

Output
- Mass density: 6.97 g/cm3
- Distance to the lowest polymorph of the same formula: 4.76 eV per formula unit
- V: 30.551 A^3/atom
- M_tot: 4.318 μB/f.u.

***

Material: NaAlPd3
Method: DFT, GGA-PBEsol
State: relaxed

Lattice parameters (Å, degrees): 4.574 4.574 4.574 90.00 90.00 90.00
Sites, in units of the cell vectors:
Na  0.000  0.000  0.000
Al  0.500  0.500  0.500
Pd  0.000  0.500  0.500
Pd  0.500  0.000  0.500
Pd  0.500  0.500  0.000

Output
- Mass density: 6.41 g/cm3
- V: 19.140 A^3/atom
- M_tot: 0.000 μB/f.u.
- Total energy: -4.66 eV/atom

***

Material: Li2CuAu
Method: DFT, GGA-PBEsol
State: relaxed

Lattice parameters (Å, degrees): 3.740 3.740 3.840 90.00 90.00 90.00
Sites, in units of the cell vectors:
Li  0.000  0.500  0.000
Li  0.500  0.000  0.000
Cu  0.000  0.000  0.500
Au  0.500  0.500  0.500

Output
- Mass density: 8.49 g/cm3
- V: 13.425 A^3/atom
- M_tot: 0.000 μB/f.u.
- Total energy: -3.32 eV/atom